[1]
Density functional theory data (PBE) for an optimized crystal structure of DyY12Ni6.

a = 8.565 Å, b = 8.565 Å, c = 8.565 Å
α = 109.47°, β = 109.47°, γ = 109.47°
Positions (direct):
Dy  0.000  0.000  0.000
Y  0.127  0.311  0.816
Y  0.184  0.495  0.311
Y  0.184  0.873  0.689
Y  0.311  0.184  0.495
Y  0.311  0.816  0.127
Y  0.495  0.311  0.184
Y  0.505  0.689  0.816
Y  0.689  0.184  0.873
Y  0.689  0.816  0.505
Y  0.816  0.127  0.311
Y  0.816  0.505  0.689
Y  0.873  0.689  0.184
Ni  0.123  0.500  0.623
Ni  0.377  0.877  0.500
Ni  0.500  0.377  0.877
Ni  0.500  0.623  0.123
Ni  0.623  0.123  0.500
Ni  0.877  0.500  0.377

Properties
Symmetry: No. 204
Volume in A^3/atom: 25.46
Formation enthalpy at 0 K in meV/atom: -229
Final energy in eV/atom: -6.380


[2]
Density functional theory data (PBE) for an optimized crystal structure of Ce4In2Au.

a = 4.692 Å, b = 22.417 Å, c = 3.513 Å
α = 90.00°, β = 90.00°, γ = 90.00°
Positions (direct):
Ce  0.000  0.064  0.000
Ce  0.000  0.353  0.500
Ce  0.000  0.647  0.500
Ce  0.000  0.936  0.000
Ce  0.500  0.147  0.500
Ce  0.500  0.436  0.000
Ce  0.500  0.564  0.000
Ce  0.500  0.853  0.500
In  0.000  0.212  0.000
In  0.000  0.788  0.000
In  0.500  0.288  0.000
In  0.500  0.712  0.000
Au  0.000  0.500  0.500
Au  0.500  0.000  0.500

Properties
Symmetry: No. 65
Volume in A^3/atom: 26.39
Formation enthalpy at 0 K in meV/atom: -269
Final energy in eV/atom: -4.910


[3]
Density functional theory data (PBE) for an optimized crystal structure of SrGdO2.

a = 3.543 Å, b = 3.543 Å, c = 17.674 Å
α = 90.00°, β = 90.00°, γ = 120.00°
Positions (direct):
Sr  0.000  0.000  0.000
Sr  0.333  0.667  0.667
Sr  0.667  0.333  0.333
Gd  0.000  0.000  0.500
Gd  0.333  0.667  0.167
Gd  0.667  0.333  0.833
O  0.000  0.000  0.242
O  0.000  0.000  0.758
O  0.333  0.667  0.425
O  0.333  0.667  0.909
O  0.667  0.333  0.091
O  0.667  0.333  0.575

Properties
E_form (uncorrected) in eV per atom: -2.737
Symmetry: No. 166
Volume in A^3/atom: 16.01
Final energy in eV/atom: -9.157


[4]
Density functional theory data (PBE) for an optimized crystal structure of SmMg3Au.

a = 9.226 Å, b = 4.290 Å, c = 12.152 Å
α = 90.00°, β = 90.00°, γ = 90.00°
Positions (direct):
Sm  0.173  0.250  0.009
Sm  0.327  0.750  0.509
Sm  0.673  0.250  0.491
Sm  0.827  0.750  0.991
Mg  0.052  0.250  0.415
Mg  0.094  0.750  0.226
Mg  0.151  0.750  0.789
Mg  0.349  0.250  0.289
Mg  0.406  0.250  0.726
Mg  0.448  0.750  0.915
Mg  0.552  0.250  0.085
Mg  0.594  0.750  0.274
Mg  0.651  0.750  0.711
Mg  0.849  0.250  0.211
Mg  0.906  0.250  0.774
Mg  0.948  0.750  0.585
Au  0.139  0.250  0.631
Au  0.361  0.750  0.131
Au  0.639  0.250  0.869
Au  0.861  0.750  0.369

Properties
Symmetry: No. 62
Volume in A^3/atom: 24.05
Formation enthalpy at 0 K in meV/atom: -368
Final energy in eV/atom: -2.924


[5]
Density functional theory data (PBE) for an optimized crystal structure of Ac4PrCo.

a = 10.308 Å, b = 10.308 Å, c = 7.956 Å
α = 90.00°, β = 90.00°, γ = 145.93°
Positions (direct):
Ac  0.005  0.995  0.500
Ac  0.193  0.807  0.022
Ac  0.203  0.797  0.522
Ac  0.393  0.607  0.266
Ac  0.607  0.393  0.766
Ac  0.797  0.203  0.022
Ac  0.807  0.193  0.522
Ac  0.995  0.005  0.000
Pr  0.381  0.619  0.769
Pr  0.619  0.381  0.269
Co  0.096  0.904  0.761
Co  0.904  0.096  0.261

Properties
Symmetry: No. 36
Volume in A^3/atom: 39.47
Formation enthalpy at 0 K in meV/atom: 79
Final energy in eV/atom: -4.641


[6]
Density functional theory data (PBE) for an optimized crystal structure of AlGa4Co.

a = 6.540 Å, b = 6.540 Å, c = 6.540 Å
α = 122.30°, β = 122.30°, γ = 86.06°
Positions (direct):
Al  0.000  0.000  0.000
Al  0.500  0.500  0.000
Ga  0.012  0.512  0.810
Ga  0.202  0.012  0.500
Ga  0.298  0.798  0.810
Ga  0.488  0.298  0.500
Ga  0.512  0.702  0.500
Ga  0.702  0.202  0.190
Ga  0.798  0.988  0.500
Ga  0.988  0.488  0.190
Co  0.250  0.250  0.000
Co  0.750  0.750  0.000

Properties
Energy relative to the lowest polymorph listed for this composition in meV/atom: 0
Symmetry: No. 140
Volume in A^3/atom: 15.87
Formation enthalpy at 0 K in meV/atom: -199
Final energy in eV/atom: -4.025


[7]
Density functional theory data (PBE) for an optimized crystal structure of KMn2Pt.

a = 2.693 Å, b = 4.271 Å, c = 6.907 Å
α = 90.00°, β = 90.00°, γ = 90.00°
Positions (direct):
K  0.000  0.000  0.000
Mn  0.500  0.500  0.366
Mn  0.500  0.500  0.634
Pt  0.000  0.000  0.500

Properties
Energy relative to the lowest polymorph listed for this composition in meV/atom: 245
Symmetry: No. 47
Volume in A^3/atom: 19.86
Formation enthalpy at 0 K in meV/atom: 592
Final energy in eV/atom: -5.777


[8]
Density functional theory data (PBE) for an optimized crystal structure of PmPu2Zn2Si2.

a = 9.433 Å, b = 9.433 Å, c = 9.433 Å
α = 24.62°, β = 24.62°, γ = 24.62°
Positions (direct):
Pm  0.000  0.000  0.000
Pu  0.151  0.151  0.151
Pu  0.849  0.849  0.849
Zn  0.409  0.409  0.409
Zn  0.591  0.591  0.591
Si  0.256  0.256  0.256
Si  0.744  0.744  0.744

Properties
E_form (uncorrected) in eV per atom: -0.271
Symmetry: No. 166
Volume in A^3/atom: 18.30
Final energy in eV/atom: -6.958


[9]
Density functional theory data (PBE) for an optimized crystal structure of CeTlIr.

a = 6.748 Å, b = 6.748 Å, c = 6.748 Å
α = 90.00°, β = 90.00°, γ = 90.00°
Positions (direct):
Ce  0.000  0.000  0.000
Ce  0.000  0.500  0.500
Ce  0.500  0.000  0.500
Ce  0.500  0.500  0.000
Tl  0.000  0.000  0.500
Tl  0.000  0.500  0.000
Tl  0.500  0.000  0.000
Tl  0.500  0.500  0.500
Ir  0.250  0.250  0.750
Ir  0.250  0.750  0.250
Ir  0.750  0.250  0.250
Ir  0.750  0.750  0.750

Properties
Symmetry: No. 216
Volume in A^3/atom: 25.60
Formation enthalpy at 0 K in meV/atom: -351
Final energy in eV/atom: -6.071


[10]
Density functional theory data (PBE) for an optimized crystal structure of KCrCl2.

a = 3.908 Å, b = 3.908 Å, c = 7.141 Å
α = 90.00°, β = 90.00°, γ = 90.00°
Positions (direct):
K  0.000  0.000  0.000
Cr  0.500  0.500  0.519
Cl  0.000  0.000  0.564
Cl  0.500  0.500  0.167

Properties
E_form (uncorrected) in eV per atom: -0.904
Energy relative to the lowest polymorph listed for this composition in meV/atom: 84
Symmetry: No. 99
Volume in A^3/atom: 27.27
Final energy in eV/atom: -4.508


Question: Number 7 is which compound?
Answer: KMn2Pt


Question: Among the records above, which one has the highest volume?
Answer: Ac4PrCo


Question: final energy of number 7 (KMn2Pt)?
Answer: -5.777 eV/atom


Please write out number 10 again, unchanged.
Density functional theory data (PBE) for an optimized crystal structure of KCrCl2.

a = 3.908 Å, b = 3.908 Å, c = 7.141 Å
α = 90.00°, β = 90.00°, γ = 90.00°
Positions (direct):
K  0.000  0.000  0.000
Cr  0.500  0.500  0.519
Cl  0.000  0.000  0.564
Cl  0.500  0.500  0.167

Properties
E_form (uncorrected) in eV per atom: -0.904
Energy relative to the lowest polymorph listed for this composition in meV/atom: 84
Symmetry: No. 99
Volume in A^3/atom: 27.27
Final energy in eV/atom: -4.508